# 1
Crystalline TlVTe2O6 at its relaxed geometry, computed with PBE with a Hubbard U.

Lattice parameters (Å, degrees): 8.401 7.807 7.807 101.09 69.65 69.65
Element x y z (fractional)
1 V 0.750 0.788 0.212
2 V 0.250 0.212 0.788
3 Te 0.348 0.727 0.545
4 Te 0.652 0.273 0.455
5 Te 0.848 0.545 0.727
6 Te 0.152 0.455 0.273
7 O 0.471 0.195 0.589
8 O 0.787 0.023 0.229
9 O 0.463 0.595 0.683
10 O 0.029 0.411 0.805
11 O 0.287 0.229 0.023
12 O 0.963 0.683 0.595
13 O 0.037 0.317 0.405
14 O 0.213 0.977 0.771
15 O 0.971 0.589 0.195
16 O 0.537 0.405 0.317
17 O 0.529 0.805 0.411
18 O 0.713 0.771 0.977
19 Tl 0.750 0.084 0.916
20 Tl 0.250 0.916 0.084

Summary:
The total energy comes out at -5.77 eV/atom. The space group is C2/c. The calculation puts the spin magnetization at 4.00 μB/cell.

# 2
Crystalline TlVTeO6 at its relaxed geometry, computed with PBE with a Hubbard U.

Lattice parameters (Å, degrees): 5.204 5.204 6.254 90.01 90.00 60.00
Element x y z (fractional)
1 O 0.993 0.397 0.325
2 O 0.398 0.609 0.325
3 O 0.993 0.609 0.675
4 O 0.609 0.398 0.675
5 O 0.609 0.993 0.325
6 O 0.397 0.993 0.675
7 Tl 0.000 0.000 0.000
8 Te 0.333 0.333 0.500
9 V 0.667 0.667 0.500

Summary:
The total energy comes out at -6.02 eV/atom. The space group is P312. The calculation puts the spin magnetization at 0.00 μB/cell.

# 3
Crystalline TlVTe2O8 at its relaxed geometry, computed with PBE with a Hubbard U.

Lattice parameters (Å, degrees): 5.652 5.402 9.142 69.30 71.99 58.46
Element x y z (fractional)
1 O 0.171 0.271 0.387
2 O 0.687 0.960 0.171
3 O 0.218 0.547 0.018
4 O 0.829 0.729 0.613
5 O 0.313 0.040 0.829
6 O 0.817 0.040 0.829
7 O 0.782 0.453 0.982
8 O 0.183 0.960 0.171
9 V 0.000 0.000 0.000
10 Te 0.700 0.786 0.814
11 Te 0.300 0.214 0.186
12 Tl 0.500 0.500 0.500

Summary:
The total energy comes out at -5.67 eV/atom. The space group is C2/m. The calculation puts the spin magnetization at 2.00 μB/cell.